(1)
YBPdRu2 | PBE | optimized geometry

Values from the calculation:
DFT formation energy   -412 meV/atom
SG   P4/mmm

Unit cell a=4.237 b=4.237 c=4.221 alpha=90.00 beta=90.00 gamma=90.00
Element x y z (fractional)
Y  0.500  0.500  0.500
Ru  0.000  0.500  0.000
Ru  0.500  0.000  0.000
B  0.000  0.000  0.000
Pd  0.000  0.000  0.500



(2)
NaTlHg2Pd | PBE | optimized geometry

Values from the calculation:
DFT formation energy   -17 meV/atom
SG   P4/mmm
Relative energy among the computed polymorphs   0.067 eV per atom

Unit cell a=5.296 b=5.296 c=5.274 alpha=90.00 beta=90.00 gamma=90.00
Element x y z (fractional)
Na  0.000  0.000  0.500
Tl  0.500  0.500  0.500
Hg  0.000  0.500  0.000
Hg  0.500  0.000  0.000
Pd  0.000  0.000  0.000



(3)
AlSb2TeMo | PBE | optimized geometry

Values from the calculation:
Raw formation energy   1.073 eV per atom
SG   P4/mmm
Relative energy among the computed polymorphs   0.461 eV per atom

Unit cell a=5.183 b=5.183 c=5.316 alpha=90.00 beta=90.00 gamma=90.00
Site moments in Bohr magnetons follow the coordinates.
Element x y z (fractional)
Sb  0.000  0.500  0.000  -0.12
Sb  0.500  0.000  0.000  -0.12
Mo  0.500  0.500  0.500  3.38
Te  0.000  0.000  0.500  -0.12
Al  0.000  0.000  0.000  0.01



(4)
Cr2CuTe | PBE | optimized geometry

Values from the calculation:
Raw formation energy   0.468 eV per atom
SG   P2/m

Unit cell a=4.052 b=3.744 c=5.511 alpha=47.28 beta=90.00 gamma=90.00
Site moments in Bohr magnetons follow the coordinates.
Element x y z (fractional)
Cr  0.000  0.375  0.875  2.52
Cr  0.500  0.875  0.375  2.53
Cu  0.000  0.375  0.375  0.08
Te  0.500  0.875  0.875  -0.08



(5)
HgPtI | PBE | optimized geometry

Values from the calculation:
Raw formation energy   -0.016 eV per atom
SG   P-1

Unit cell a=5.893 b=10.837 c=6.975 alpha=90.22 beta=90.01 gamma=123.02
Element x y z (fractional)
Hg  0.788  0.538  0.045
Hg  0.712  0.462  0.543
Hg  0.212  0.462  0.955
Hg  0.288  0.538  0.457
Pt  0.330  0.331  0.249
Pt  0.169  0.669  0.751
Pt  0.670  0.669  0.751
Pt  0.831  0.331  0.249
I  0.382  0.132  0.049
I  0.120  0.870  0.553
I  0.618  0.868  0.951
I  0.880  0.130  0.447



(6)
ReHg2Cl8 | PBE | optimized geometry

Values from the calculation:
Raw formation energy   -0.544 eV per atom
SG   C2/m

Unit cell a=6.470 b=8.583 c=8.583 alpha=49.95 beta=87.88 gamma=87.88
Site moments in Bohr magnetons follow the coordinates.
Element x y z (fractional)
Re  0.000  0.000  0.000  2.18
Hg  0.620  0.831  0.831  0.03
Hg  0.380  0.169  0.169  0.03
Cl  0.225  0.828  0.282  0.03
Cl  0.225  0.282  0.828  0.03
Cl  0.775  0.172  0.718  0.03
Cl  0.412  0.319  0.319  0.03
Cl  0.775  0.718  0.172  0.03
Cl  0.185  0.866  0.866  0.07
Cl  0.815  0.134  0.134  0.07
Cl  0.588  0.681  0.681  0.03



no.,energy (eV/cell)
1,-38.9
2,-9.6
3,-20.6
4,-24.6
5,-31.8
6,-33.8